This record from Alexandria via LeMat-Bulk describes CsSb5Te4 after structural relaxation. The functional is PBE-GGA.

a b c (Å): 11.9720 13.9296 4.3828
angles (deg): 90.00 90.00 90.00
Closest atoms and distances in Å follow each position.
Atoms (fractional coordinates):
Cs  0.2500  0.2500  0.2416  4 Te 3.85-4.00, 8 Sb 4.21-4.26
Cs  0.7500  0.7500  0.7584  4 Te 3.85-4.00, 8 Sb 4.21-4.26
Sb  0.0408  0.0618  0.7515  2 Sb 2.94-2.96, 1 Te 3.02
Sb  0.0408  0.4382  0.7515  2 Sb 2.94-2.96, 1 Te 3.02
Sb  0.2500  0.7500  0.0631  6 Te 2.97-3.24
Sb  0.4592  0.0618  0.7515  2 Sb 2.94-2.96, 1 Te 3.02
Sb  0.4592  0.4382  0.7515  2 Sb 2.94-2.96, 1 Te 3.02
Sb  0.5408  0.5618  0.2485  2 Sb 2.94-2.96, 1 Te 3.02
Sb  0.5408  0.9382  0.2485  2 Sb 2.94-2.96, 1 Te 3.02
Sb  0.7500  0.2500  0.9369  6 Te 2.97-3.24
Sb  0.9592  0.5618  0.2485  2 Sb 2.94-2.96, 1 Te 3.02
Sb  0.9592  0.9382  0.2485  2 Sb 2.94-2.96, 1 Te 3.02
Te  0.0668  0.7500  0.6059  4 Sb 2.97-3.31
Te  0.2500  0.5280  0.0097  3 Sb 3.02-3.10
Te  0.2500  0.9720  0.0097  3 Sb 3.02-3.10
Te  0.4332  0.7500  0.6059  4 Sb 2.97-3.31
Te  0.5668  0.2500  0.3941  4 Sb 2.97-3.31
Te  0.7500  0.0280  0.9903  3 Sb 3.02-3.10
Te  0.7500  0.4720  0.9903  3 Sb 3.02-3.10
Te  0.9332  0.2500  0.3941  4 Sb 2.97-3.31

Results
**Formation energy (no corrections)**: -91.1 meV/atom
**M_tot**: 0.00 μB per cell

---

This record from Alexandria via LeMat-Bulk describes La3Mg7Pd4 after structural relaxation. The functional is PBE-GGA.

a b c (Å): 8.5126 8.5126 10.5108
angles (deg): 121.99 121.99 30.21
Closest atoms and distances in Å follow each position.
Atoms (fractional coordinates):
La  0.0000  0.0000  0.0000  6 Pd 3.21-3.42
La  0.3045  0.3045  0.2887  4 Pd 3.10-3.19, 5 Mg 3.32-3.38
La  0.6955  0.6955  0.7113  4 Pd 3.10-3.19, 5 Mg 3.32-3.38
Mg  0.0000  0.0000  0.5000  2 Pd 2.85, 4 Mg 3.16
Mg  0.1667  0.1667  0.4309  3 Pd 2.81-2.86, 2 Mg 3.06
Mg  0.3212  0.3212  0.9872  4 Pd 2.77-2.91, 1 Mg 3.05
Mg  0.4868  0.4868  0.7019  3 Pd 2.69-2.79
Mg  0.5132  0.5132  0.2981  3 Pd 2.69-2.79
Mg  0.6788  0.6788  0.0128  4 Pd 2.77-2.91, 1 Mg 3.05
Mg  0.8333  0.8333  0.5691  3 Pd 2.81-2.86, 2 Mg 3.06
Pd  0.1097  0.1097  0.8243  6 Mg 2.77-2.91
Pd  0.3354  0.3354  0.7351  5 Mg 2.69-2.86
Pd  0.6646  0.6646  0.2649  5 Mg 2.69-2.86
Pd  0.8903  0.8903  0.1757  6 Mg 2.77-2.91

Results
**ΔE_f**: -0.536 eV per atom
**M_tot**: 0.00 μB per cell

---

This record from Alexandria via LeMat-Bulk describes Nd4PSe2 after structural relaxation. The functional is PBE-GGA.

a b c (Å): 4.1364 7.0716 8.0616
angles (deg): 115.77 104.79 90.03
Closest atoms and distances in Å follow each position.
Atoms (fractional coordinates):
Nd  0.1177  0.4599  0.2365  2 P 2.87, 3 Se 2.98-3.06
Nd  0.3810  0.0532  0.7627  1 P 2.85, 3 Se 2.95-3.00
Nd  0.6190  0.9468  0.2373  1 P 2.85, 3 Se 2.95-3.00
Nd  0.8823  0.5401  0.7635  2 P 2.87, 3 Se 2.98-3.06
P  0.5000  0.5000  0.0000  6 Nd 2.85-2.87
Se  0.2430  0.2406  0.4858  6 Nd 2.95-3.06
Se  0.7570  0.7594  0.5142  6 Nd 2.95-3.06

Results
**Formation energy (no corrections)**: -1436.9 meV/atom
**M_tot**: 0.00 μB per cell

---

This record from Alexandria via LeMat-Bulk describes Ce5Cr after structural relaxation. The functional is PBE-GGA.

a b c (Å): 7.6700 7.6700 4.4458
angles (deg): 90.00 90.00 146.27
Closest atoms and distances in Å follow each position.
Atoms (fractional coordinates):
Ce  0.0000  0.0000  0.0000  4 Cr 3.15, 8 Ce 3.21-3.36
Ce  0.1717  0.8283  0.5000  10 Ce 3.15-3.36, 2 Cr 3.36
Ce  0.3424  0.6576  0.0000  10 Ce 3.15-3.51, 2 Cr 3.21
Ce  0.6576  0.3424  0.0000  10 Ce 3.15-3.51, 2 Cr 3.21
Ce  0.8283  0.1717  0.5000  10 Ce 3.15-3.36, 2 Cr 3.36
Cr  0.5000  0.5000  0.5000  12 Ce 3.15-3.36

Results
**ΔE_f**: 0.208 eV per atom
**M_tot**: 0.82 μB per cell

---

This record from Alexandria via LeMat-Bulk describes YGaOF2 after structural relaxation. The functional is PBE-GGA.

a b c (Å): 4.3360 4.3360 3.8875
angles (deg): 90.00 90.00 90.00
Closest atoms and distances in Å follow each position.
Atoms (fractional coordinates):
Y  0.0000  0.0000  0.0000  8 F 2.91, 4 O 3.07
Ga  0.5000  0.5000  0.5000  2 O 1.94, 4 F 2.17
O  0.5000  0.5000  0.0000  2 Ga 1.94
F  0.0000  0.5000  0.5000  2 Ga 2.17
F  0.5000  0.0000  0.5000  2 Ga 2.17

Results
**Formation energy (no corrections)**: -1866.8 meV/atom
**M_tot**: 0.97 μB per cell
**Polymorph energy (0 for the lowest one)**: 0.860 eV per atom

---

This record from Alexandria via LeMat-Bulk describes LiSn2F8 after structural relaxation. The functional is PBE-GGA.

a b c (Å): 6.6666 6.6666 4.2987
angles (deg): 90.00 90.00 120.00
Closest atoms and distances in Å follow each position.
Atoms (fractional coordinates):
Li  0.0000  0.0000  0.0000  6 F 2.14
Sn  0.3333  0.6667  0.2393  5 F 1.97-2.16
Sn  0.6667  0.3333  0.7607  5 F 1.97-2.16
F  0.1611  0.8362  0.2395  1 Sn 1.97, 1 Li 2.14
F  0.1638  0.3249  0.2395  1 Sn 1.97, 1 Li 2.14
F  0.3249  0.1611  0.7605  1 Sn 1.97, 1 Li 2.14
F  0.3333  0.6667  0.7380  2 Sn 2.14-2.16
F  0.6667  0.3333  0.2620  2 Sn 2.14-2.16
F  0.6751  0.8389  0.2395  1 Sn 1.97, 1 Li 2.14
F  0.8362  0.6751  0.7605  1 Sn 1.97, 1 Li 2.14
F  0.8389  0.1638  0.7605  1 Sn 1.97, 1 Li 2.14

Results
**Formation energy (no corrections)**: -2330.6 meV/atom
**M_tot**: 0.00 μB per cell
**Polymorph energy (0 for the lowest one)**: 0.109 eV per atom

---

This record from Alexandria via LeMat-Bulk describes PmPr4Dy after structural relaxation. The functional is PBE-GGA.

a b c (Å): 8.2222 8.2222 5.1993
angles (deg): 90.00 90.00 143.04
Closest atoms and distances in Å follow each position.
Atoms (fractional coordinates):
Pm  0.0000  0.0000  0.0000  8 Pr 3.66, 4 Dy 3.68
Pr  0.1654  0.8346  0.5000  2 Pm 3.66, 2 Dy 3.67, 8 Pr 3.68-3.71
Pr  0.3352  0.6648  0.0000  2 Dy 3.66, 2 Pm 3.66, 8 Pr 3.68-3.72
Pr  0.6648  0.3352  0.0000  2 Dy 3.66, 2 Pm 3.66, 8 Pr 3.68-3.72
Pr  0.8346  0.1654  0.5000  2 Pm 3.66, 2 Dy 3.67, 8 Pr 3.68-3.71
Dy  0.5000  0.5000  0.5000  8 Pr 3.66-3.67, 4 Pm 3.68

Results
**ΔE_f**: 0.017 eV per atom
**M_tot**: 0.00 μB per cell
**Polymorph energy (0 for the lowest one)**: 0.000 eV per atom

---

This record from Alexandria via LeMat-Bulk describes Ba2NaNdS4 after structural relaxation. The functional is PBE-GGA.

a b c (Å): 7.4924 4.3512 7.4927
angles (deg): 90.00 108.80 90.00
Closest atoms and distances in Å follow each position.
Atoms (fractional coordinates):
Ba  0.0000  0.0000  0.0000  6 S 3.23
Ba  0.5000  0.5000  0.0000  6 S 3.12
Na  0.0000  0.5000  0.5000  6 S 2.99-3.05
Nd  0.5000  0.0000  0.5000  6 S 2.87-2.94
S  0.2590  0.0000  0.7294  1 Nd 2.87, 2 Na 3.05, 2 Ba 3.12
S  0.2677  0.5000  0.2782  2 Nd 2.94, 1 Na 2.99, 3 Ba 3.12-3.23
S  0.7323  0.5000  0.7218  2 Nd 2.94, 1 Na 2.99, 3 Ba 3.12-3.23
S  0.7410  0.0000  0.2706  1 Nd 2.87, 2 Na 3.05, 2 Ba 3.12

Results
**Formation energy (no corrections)**: -1870.4 meV/atom
**M_tot**: 0.00 μB per cell

---

This record from Alexandria via LeMat-Bulk describes Sc2BeGeSe after structural relaxation. The functional is PBE-GGA.

a b c (Å): 5.0605 5.0605 5.0953
angles (deg): 90.00 90.00 90.00
Closest atoms and distances in Å follow each position.
Atoms (fractional coordinates):
Sc  0.0000  0.5000  0.0000  2 Ge 2.53
Sc  0.5000  0.0000  0.0000  2 Ge 2.53
Be  0.0000  0.0000  0.5000  4 Se 3.58, 8 Sc 3.59
Ge  0.5000  0.5000  0.0000  4 Sc 2.53, 2 Se 2.55
Se  0.5000  0.5000  0.5000  2 Ge 2.55

Results
**Formation energy (no corrections)**: 499.3 meV/atom
**M_tot**: 0.00 μB per cell

---

This record from Alexandria via LeMat-Bulk describes Ba2Ca2Ag after structural relaxation. The functional is PBE-GGA.

a b c (Å): 8.1367 8.1367 6.6249
angles (deg): 90.00 90.00 90.00
Closest atoms and distances in Å follow each position.
Atoms (fractional coordinates):
Ba  0.1755  0.3245  0.0000  2 Ca 3.82, 5 Ba 4.04-4.25
Ba  0.3245  0.8245  0.0000  2 Ca 3.82, 5 Ba 4.04-4.25
Ba  0.6755  0.1755  0.0000  2 Ca 3.82, 5 Ba 4.04-4.25
Ba  0.8245  0.6755  0.0000  2 Ca 3.82, 5 Ba 4.04-4.25
Ca  0.1595  0.6595  0.5000  2 Ag 3.06
Ca  0.3405  0.1595  0.5000  2 Ag 3.06
Ca  0.6595  0.8405  0.5000  2 Ag 3.06
Ca  0.8405  0.3405  0.5000  2 Ag 3.06
Ag  0.0000  0.0000  0.5000  4 Ca 3.06
Ag  0.5000  0.5000  0.5000  4 Ca 3.06

Results
**ΔE_f**: 0.029 eV per atom
**M_tot**: 0.00 μB per cell

---

This record from Alexandria via LeMat-Bulk describes CaCoHg2 after structural relaxation. The functional is PBE-GGA.

a b c (Å): 4.9356 4.9356 4.9356
angles (deg): 60.00 60.00 60.00
Closest atoms and distances in Å follow each position.
Atoms (fractional coordinates):
Ca  0.0000  0.0000  0.0000  4 Hg 3.02, 4 Co 3.02
Co  0.2500  0.2500  0.2500  4 Hg 3.02, 4 Ca 3.02
Hg  0.5000  0.5000  0.5000  4 Hg 3.02, 4 Co 3.02
Hg  0.7500  0.7500  0.7500  4 Hg 3.02, 4 Ca 3.02

Results
**ΔE_f**: 0.144 eV per atom
**M_tot**: 1.52 μB per cell

---

This record from Alexandria via LeMat-Bulk describes PaSnN2 after structural relaxation. The functional is PBE-GGA.

a b c (Å): 7.1180 7.1180 7.1180
angles (deg): 29.31 29.31 29.31
Closest atoms and distances in Å follow each position.
Atoms (fractional coordinates):
Pa  0.0000  0.0000  0.0000  6 N 2.30
Sn  0.5000  0.5000  0.5000  2 N 2.43
N  0.3812  0.3812  0.3812  3 Pa 2.30, 1 Sn 2.43
N  0.6188  0.6188  0.6188  3 Pa 2.30, 1 Sn 2.43

Results
**Formation energy (no corrections)**: -932.4 meV/atom
**M_tot**: 0.00 μB per cell

---

Q: What is the formula in the fourth record?
A: Ce5Cr